Record 1
DFT (PBE) results for a relaxed structure of GaSe2SBr.

ΔE_f (raw) in eV/atom: 0.5804
Offset from the most stable computed form in eV per atom: 0.290
Total magnetic moment in μB per atom: 0.000
DOS(E_F) in states/eV per atom: 0.766

Cell: 5.0642 5.0642 4.8833 Å, 90.00 90.00 90.00°
With the nearest neighbours (Å) after each atom.
Sites, in units of the cell vectors:
1 Ga 0.0000 0.0000 0.0000  2 Br 2.44, 4 Se 2.53
2 Se 0.0000 0.5000 0.0000  2 Ga 2.53
3 Se 0.5000 0.0000 0.0000  2 Ga 2.53
4 S 0.5000 0.5000 0.5000  8 Se 3.52, 4 Br 3.58
5 Br 0.0000 0.0000 0.5000  2 Ga 2.44

***

Record 2
DFT (PBE) results for a relaxed structure of AcGa2Pt5Au.

Energy of formation in meV per atom: -429
Total magnetic moment in μB per atom: 0.000
DOS(E_F) in states/eV per atom: 0.348

Cell: 4.1138 4.1138 11.4276 Å, 90.00 90.00 90.00°
With the nearest neighbours (Å) after each atom.
Sites, in units of the cell vectors:
1 Ac 0.0000 0.0000 0.0000  4 Pt 2.91
2 Ga 0.5000 0.5000 0.2160  5 Pt 2.47-2.49
3 Ga 0.5000 0.5000 0.7840  5 Pt 2.47-2.49
4 Pt 0.0000 0.5000 0.3381  2 Ga 2.49, 2 Au 2.77
5 Pt 0.0000 0.5000 0.6619  2 Ga 2.49, 2 Au 2.77
6 Pt 0.5000 0.0000 0.3381  2 Ga 2.49, 2 Au 2.77
7 Pt 0.5000 0.0000 0.6619  2 Ga 2.49, 2 Au 2.77
8 Pt 0.5000 0.5000 0.0000  2 Ga 2.47
9 Au 0.0000 0.0000 0.5000  8 Pt 2.77

***

Record 3
DFT (PBE) results for a relaxed structure of BaLaTcO6.

ΔE_f (raw) in eV/atom: -2.2534
Total magnetic moment in μB per atom: 0.000

Cell: 5.8073 5.8073 5.5167 Å, 90.00 90.00 120.00°
With the nearest neighbours (Å) after each atom.
Sites, in units of the cell vectors:
1 Ba 0.0000 0.0000 0.0000  6 O 2.75
2 La 0.3333 0.6667 0.5000  6 O 2.37
3 Tc 0.6667 0.3333 0.5000  6 O 1.91
4 O 0.4009 0.0582 0.6971  1 Tc 1.91
5 O 0.4009 0.3427 0.3029  1 Tc 1.91
6 O 0.6573 0.0582 0.3029  1 Tc 1.91
7 O 0.6573 0.5991 0.6971  1 Tc 1.91
8 O 0.9418 0.3427 0.6971  1 Tc 1.91
9 O 0.9418 0.5991 0.3029  1 Tc 1.91

***

Record 4
DFT (PBE) results for a relaxed structure of ScVGa2Pb.

Energy of formation in meV per atom: 275
Total magnetic moment in μB per atom: 0.111
DOS(E_F) in states/eV per atom: 0.856

Cell: 4.7661 4.7661 5.1431 Å, 90.00 90.00 90.00°
With the nearest neighbours (Å) after each atom.
Sites, in units of the cell vectors:
1 Sc 0.0000 0.0000 0.0000  4 Pb 3.37, 8 Ga 3.51
2 V 0.5000 0.5000 0.5000  4 Ga 2.38, 2 Pb 2.57
3 Ga 0.0000 0.5000 0.5000  2 V 2.38
4 Ga 0.5000 0.0000 0.5000  2 V 2.38
5 Pb 0.5000 0.5000 0.0000  2 V 2.57

***

Record 5
DFT (PBE) results for a relaxed structure of TcAsBr.

ΔE_f (raw) in eV/atom: 0.1458
Offset from the most stable computed form in eV per atom: 0.000
Total magnetic moment in μB per atom: 0.001
DOS(E_F) in states/eV per atom: 1.258

Cell: 3.3458 3.3458 6.2901 Å, 90.00 90.00 120.00°
With the nearest neighbours (Å) after each atom.
Sites, in units of the cell vectors:
1 Tc 0.0000 0.0000 0.0000  3 As 2.48, 3 Br 2.73
2 As 0.6667 0.3333 0.2480  3 Tc 2.48
3 Br 0.3333 0.6667 0.6944  3 Tc 2.73

***

Record 6
DFT (PBE) results for a relaxed structure of NaTl2Si2.

ΔE_f (raw) in eV/atom: 0.4065
Offset from the most stable computed form in eV per atom: 0.127
Total magnetic moment in μB per atom: 0.000
DOS(E_F) in states/eV per atom: 0.616

Cell: 4.5780 4.5780 12.5934 Å, 90.00 90.00 90.00°
With the nearest neighbours (Å) after each atom.
Sites, in units of the cell vectors:
1 Na 0.0000 0.0000 0.0000  8 Tl 3.57, 8 Si 3.89
2 Na 0.5000 0.5000 0.5000  8 Tl 3.57, 8 Si 3.89
3 Tl 0.0000 0.0000 0.3809  4 Si 2.82, 1 Tl 3.00
4 Tl 0.0000 0.0000 0.6191  4 Si 2.82, 1 Tl 3.00
5 Tl 0.5000 0.5000 0.1191  4 Si 2.82, 1 Tl 3.00
6 Tl 0.5000 0.5000 0.8809  4 Si 2.82, 1 Tl 3.00
7 Si 0.0000 0.5000 0.2500  4 Tl 2.82
8 Si 0.0000 0.5000 0.7500  4 Tl 2.82
9 Si 0.5000 0.0000 0.2500  4 Tl 2.82
10 Si 0.5000 0.0000 0.7500  4 Tl 2.82

***

Record 7
DFT (PBE) results for a relaxed structure of TlSbPd2.

ΔE_f (raw) in eV/atom: -0.2081
Offset from the most stable computed form in eV per atom: 0.118
Total magnetic moment in μB per atom: 0.000
DOS(E_F) in states/eV per atom: 0.554

Cell: 4.4283 6.2361 6.7957 Å, 86.27 86.66 84.44°
With the nearest neighbours (Å) after each atom.
Sites, in units of the cell vectors:
1 Tl 0.0000 0.0000 0.0000  4 Pd 2.79-3.07
2 Tl 0.5000 0.5000 0.0000  4 Pd 2.71-2.72
3 Sb 0.1113 0.2405 0.4385  5 Pd 2.66-2.73
4 Sb 0.8887 0.7595 0.5615  5 Pd 2.66-2.73
5 Pd 0.0313 0.3991 0.7936  2 Sb 2.66-2.71, 3 Tl 2.71-2.79, 1 Pd 2.87
6 Pd 0.4027 0.8610 0.3471  3 Sb 2.67-2.73, 1 Pd 2.87
7 Pd 0.5973 0.1390 0.6529  3 Sb 2.67-2.73, 1 Pd 2.87
8 Pd 0.9687 0.6009 0.2064  2 Sb 2.66-2.71, 3 Tl 2.71-2.79, 1 Pd 2.87

***

Record 8
DFT (PBE) results for a relaxed structure of LaAl2Re2Si.

ΔE_f (raw) in eV/atom: -0.1603
Total magnetic moment in μB per atom: 0.000
DOS(E_F) in states/eV per atom: 0.545

Cell: 4.5433 4.5433 5.7694 Å, 90.00 90.00 90.00°
With the nearest neighbours (Å) after each atom.
Sites, in units of the cell vectors:
1 La 0.0000 0.0000 0.0000  2 Si 2.88
2 Al 0.5000 0.5000 0.2451  4 Re 2.71, 2 Al 2.83-2.94
3 Al 0.5000 0.5000 0.7549  4 Re 2.71, 2 Al 2.83-2.94
4 Re 0.0000 0.5000 0.5000  2 Si 2.27
5 Re 0.5000 0.0000 0.5000  2 Si 2.27
6 Si 0.0000 0.0000 0.5000  4 Re 2.27